Entry 1:
Entry from Alexandria: an optimized crystal structure of Pm2Sm6TmTh (PBE-GGA).

The space group is C2/c (No. 15) and the conventional cell measures 9.207, 15.017 and 9.872 Å, with angles of 90.00, 99.16 and 90.00 degrees. The asymmetric unit holds Pm at (0.243, 0.047, 0.046), Sm at (0.070, 0.184, 0.444), Sm at (0.098, 0.396, 0.620), Sm at (0.204, 0.219, 0.812), Tm at (0.000, 0.407, 0.250) and Th at (0.000, 0.020, 0.750).

For the formation energy, the calculation gives 147 meV/atom. As for the density: 7.85 g cm⁻³.

=====

Entry 2:
Entry from Alexandria: an optimized crystal structure of CoNi2Ag (PBE-GGA).

The space group is Fm-3m (No. 225) and the conventional cell measures 5.893, 5.893 and 5.893 Å, with angles of 90.00, 90.00 and 90.00 degrees. The asymmetric unit holds Co at (0.000, 0.000, 0.000), Ni at (0.250, 0.250, 0.250) and Ag at (0.000, 0.000, 0.500).

For the formation energy, the calculation gives 347 meV/atom. As for the density: 9.22 g cm⁻³.

=====

Entry 3:
Entry from Alexandria: an optimized crystal structure of MnZnTe (PBE-GGA).

The space group is P4mm (No. 99) and the conventional cell measures 3.076, 3.076 and 5.895 Å, with angles of 90.00, 90.00 and 90.00 degrees. The asymmetric unit holds Mn at (0.000, 0.000, 0.000), Zn at (0.500, 0.500, 0.734) and Te at (0.500, 0.500, 0.242).

The energy relative to the elements, uncorrected is 5.92 kcal/mol of atoms. As for the density: 7.38 g cm⁻³.

=====

Entry 4:
Entry from Alexandria: an optimized crystal structure of Si2TcP (PBE-GGA).

The space group is I4/mmm (No. 139) and the conventional cell measures 3.772, 3.772 and 7.554 Å, with angles of 90.00, 90.00 and 90.00 degrees. The asymmetric unit holds Si at (0.000, 0.500, 0.250), Tc at (0.000, 0.000, 0.000) and P at (0.000, 0.000, 0.500).

The energy relative to the elements, uncorrected is 6.10 kcal/mol of atoms. As for the density: 5.72 g cm⁻³.